Entry 1:
SrTbZn2Ge2 | PBE | optimized geometry

Unit cell a=4.286 b=4.286 c=8.573 alpha=90.00 beta=90.00 gamma=120.00
Element x y z (fractional)
Sr  0.000  0.000  0.000
Tb  0.000  0.000  0.500
Zn  0.333  0.667  0.713
Zn  0.667  0.333  0.287
Ge  0.333  0.667  0.266
Ge  0.667  0.333  0.734

Results
Formation energy   -580 meV per atom



Entry 2:
PuScMoOs | PBE | optimized geometry

Unit cell a=4.676 b=4.676 c=4.676 alpha=60.00 beta=60.00 gamma=60.00
Element x y z (fractional)
Pu  0.000  0.000  0.000
Sc  0.500  0.500  0.500
Mo  0.250  0.250  0.250
Os  0.750  0.750  0.750

Results
Formation energy   -34 meV per atom



Entry 3:
Cd3Ag6Sn | PBE | optimized geometry

Unit cell a=9.176 b=4.397 c=9.675 alpha=90.00 beta=93.10 gamma=90.00
Element x y z (fractional)
Cd  0.046  0.250  0.397
Cd  0.146  0.750  0.196
Cd  0.252  0.250  0.993
Cd  0.748  0.750  0.007
Cd  0.854  0.250  0.804
Cd  0.954  0.750  0.603
Ag  0.053  0.750  0.901
Ag  0.150  0.250  0.701
Ag  0.248  0.750  0.498
Ag  0.344  0.250  0.293
Ag  0.350  0.750  0.802
Ag  0.447  0.750  0.093
Ag  0.553  0.250  0.907
Ag  0.650  0.250  0.198
Ag  0.656  0.750  0.707
Ag  0.752  0.250  0.502
Ag  0.850  0.750  0.299
Ag  0.947  0.250  0.099
Sn  0.451  0.250  0.614
Sn  0.549  0.750  0.386

Results
ΔE to the lowest computed polymorph   0 meV per atom
Formation energy   -18 meV per atom